Computed, not measured: a relaxed structure of Ce3As3O at the PBE level of DFT.

Summary:
* volume: 24.45 Å³ per atom
* distance to the lowest polymorph of the same formula: 0.051 eV/atom
* ΔE_f (raw): -11.84 eV per formula unit

Cell lengths 7.9728, 12.0797, 7.1478 Å; angles 90.00, 95.92, 90.00 degrees
Closest atoms and distances in Å follow each position.
Space group C2/m (No. 12)
Unique sites:
Ce (0.1071, 0.0000, 0.3030)  2 O 2.37-2.43
Ce (0.2015, 0.3401, 0.2287)  1 O 2.30
As (0.0000, 0.1665, 0.0000)  6 Ce 3.01-3.02
As (0.0000, 0.2315, 0.5000)  6 Ce 2.95-3.28, 2 O 3.26
As (0.0876, 0.5000, 0.8743)  1 As 2.39
O (0.1810, 0.0000, 0.6422)  4 Ce 2.30-2.43

***

Computed, not measured: a relaxed structure of Ce3As3O at the PBE level of DFT.

Summary:
* volume: 22.92 Å³ per atom
* distance to the lowest polymorph of the same formula: 0.000 eV/atom
* ΔE_f (raw): -12.20 eV per formula unit

Cell lengths 11.7678, 4.1831, 13.0386 Å; angles 90.00, 90.00, 90.00 degrees
Closest atoms and distances in Å follow each position.
Space group Pnma (No. 62)
Unique sites:
Ce (0.0250, 0.2500, 0.1552)  2 O 2.36
Ce (0.1057, 0.2500, 0.6218)  1 O 2.44
Ce (0.2397, 0.2500, 0.8819)  1 O 2.39
As (0.0680, 0.2500, 0.3922)  6 Ce 2.93-3.13, 1 As 3.22
As (0.1462, 0.7500, 0.0166)  6 Ce 2.94-3.23
As (0.2345, 0.7500, 0.7208)  5 Ce 2.89-2.96, 2 O 3.15, 1 As 3.22
O (0.0562, 0.2500, 0.8034)  4 Ce 2.36-2.44

***

Computed, not measured: a relaxed structure of Ce3As2O3 at the PBE level of DFT.

Summary:
* volume: 18.98 Å³ per atom
* ΔE_f (raw): -16.19 eV per formula unit

Cell lengths 7.6260, 7.6260, 3.0147 Å; angles 90.00, 90.00, 120.00 degrees
Closest atoms and distances in Å follow each position.
Space group P-62m (No. 189)
Unique sites:
Ce (0.0000, 0.7335, 0.0000)  4 O 2.37
As (0.3333, 0.6667, 0.5000)  2 As 3.01, 3 O 3.18, 6 Ce 3.21
O (0.0000, 0.1988, 0.5000)  4 Ce 2.37, 2 O 2.63

***

Computed, not measured: a relaxed structure of CeAsPbO5 at the PBE level of DFT.

Summary:
* volume: 17.35 Å³ per atom
* ΔE_f (raw): -15.56 eV per formula unit

Cell lengths 7.3691, 10.1884, 8.0826 Å; angles 90.00, 113.78, 90.00 degrees
Closest atoms and distances in Å follow each position.
Space group C2/c (No. 15)
Unique sites:
Ce (0.0000, 0.0000, 0.0000)  6 O 2.23-2.46
As (0.0000, 0.3180, 0.2500)  4 O 1.72-1.76
Pb (0.0000, 0.3120, 0.7500)  1 O 2.24
O (0.0000, 0.0922, 0.7500)  2 Ce 2.23, 1 Pb 2.24
O (0.1090, 0.2175, 0.1376)  1 As 1.76
O (0.1733, 0.4171, 0.4085)  1 As 1.72

***

Computed, not measured: a relaxed structure of CeAs2PbO8 at the PBE level of DFT.

Summary:
* volume: 17.03 Å³ per atom
* ΔE_f (raw): -21.49 eV per formula unit

Cell lengths 8.8097, 5.8398, 7.9466 Å; angles 90.00, 90.68, 90.00 degrees
Closest atoms and distances in Å follow each position.
Space group C2/m (No. 12)
Unique sites:
Ce (0.0000, 0.0000, 0.0000)  6 O 2.18-2.31
As (0.1383, 0.5000, 0.7563)  4 O 1.68-1.74
Pb (0.0000, 0.0000, 0.5000)  6 O 2.53-2.69
O (0.0273, 0.2555, 0.7802)  1 As 1.74
O (0.2192, 0.5000, 0.5656)  1 As 1.68
O (0.2402, 0.0000, 0.0709)  1 As 1.73

***

Computed, not measured: a relaxed structure of CePmAsO2 at the PBE level of DFT.

Summary:
* volume: 18.85 Å³ per atom
* ΔE_f (raw): -13.45 eV per formula unit

Cell lengths 3.8902, 3.8902, 12.4552 Å; angles 90.00, 90.00, 90.00 degrees
Closest atoms and distances in Å follow each position.
Space group I4mm (No. 107)
Unique sites:
Ce (0.0000, 0.0000, 0.0000)  4 O 2.28
Pm (0.0000, 0.0000, 0.3005)  4 O 2.34
As (0.0000, 0.0000, 0.6472)  4 Ce 3.31, 4 Pm 3.35, 4 O 3.59
O (0.0000, 0.5000, 0.4046)  2 Ce 2.28, 2 Pm 2.34

***

Computed, not measured: a relaxed structure of CePrAsO2 at the PBE level of DFT.

Summary:
* volume: 19.28 Å³ per atom
* ΔE_f (raw): -13.29 eV per formula unit

Cell lengths 3.9165, 3.9165, 12.5707 Å; angles 90.00, 90.00, 90.00 degrees
Closest atoms and distances in Å follow each position.
Space group I4mm (No. 107)
Unique sites:
Ce (0.0000, 0.0000, 0.0000)  4 O 2.28
Pr (0.0000, 0.0000, 0.2993)  4 O 2.38
As (0.0000, 0.0000, 0.6472)  4 Ce 3.33, 4 Pr 3.37, 4 O 3.59
O (0.0000, 0.5000, 0.4074)  2 Ce 2.28, 2 Pr 2.38

***

Computed, not measured: a relaxed structure of CePrAs2O8 at the PBE level of DFT.

Summary:
* volume: 15.01 Å³ per atom
* ΔE_f (raw): -27.54 eV per formula unit

Cell lengths 7.4038, 7.4038, 6.5713 Å; angles 90.00, 90.00, 90.00 degrees
Closest atoms and distances in Å follow each position.
Space group I-4m2 (No. 119)
Unique sites:
Ce (0.0000, 0.0000, 0.0000)  8 O 2.44-2.54
Pr (0.0000, 0.5000, 0.7500)  8 O 2.44-2.54
As (0.0000, 0.0000, 0.5000)  4 O 1.72
As (0.0000, 0.5000, 0.2500)  4 O 1.73
O (0.0000, 0.1780, 0.6693)  1 As 1.72
O (0.0000, 0.3213, 0.0806)  1 As 1.73

***

Computed, not measured: a relaxed structure of CePuAsO2 at the PBE level of DFT.

Summary:
* volume: 18.07 Å³ per atom
* ΔE_f (raw): -12.59 eV per formula unit

Cell lengths 3.8466, 3.8466, 12.2114 Å; angles 90.00, 90.00, 90.00 degrees
Closest atoms and distances in Å follow each position.
Space group I4mm (No. 107)
Unique sites:
Ce (0.0000, 0.0000, 0.0000)  4 O 2.29
Pu (0.0000, 0.0000, 0.2929)  4 O 2.31
As (0.0000, 0.0000, 0.6501)  4 Pu 3.23, 4 Ce 3.28, 4 O 3.58
O (0.0000, 0.5000, 0.3976)  2 Ce 2.29, 2 Pu 2.31

***

Computed, not measured: a relaxed structure of RbCeAs2O8 at the PBE level of DFT.

Summary:
* volume: 19.56 Å³ per atom
* ΔE_f (raw): -21.07 eV per formula unit

Cell lengths 5.7408, 5.7408, 8.2245 Å; angles 90.00, 90.00, 120.00 degrees
Closest atoms and distances in Å follow each position.
Space group P-3 (No. 147)
Unique sites:
Rb (0.0000, 0.0000, 0.0000)  12 O 3.25-3.34
Ce (0.0000, 0.0000, 0.5000)  6 O 2.24
As (0.3333, 0.6667, 0.7369)  4 O 1.71-1.72
O (0.1129, 0.3479, 0.6675)  1 As 1.72
O (0.3333, 0.6667, 0.9453)  1 As 1.71

***

Computed, not measured: a relaxed structure of RbCe2AsO8 at the PBE level of DFT.

Summary:
* volume: 15.28 Å³ per atom
* ΔE_f (raw): -25.29 eV per formula unit

Cell lengths 6.7143, 6.7535, 8.0910 Å; angles 90.00, 91.17, 90.00 degrees
Closest atoms and distances in Å follow each position.
Space group C2/m (No. 12)
Unique sites:
Rb (0.0000, 0.0000, 0.0000)  2 O 2.62
Ce (0.0092, 0.5000, 0.2876)  4 O 2.14-2.29
As (0.0000, 0.0000, 0.5000)  6 O 1.88-1.89
O (0.0094, 0.1876, 0.6715)  1 As 1.88
O (0.1091, 0.5000, 0.0003)  1 O 1.47
O (0.2193, 0.5000, 0.5053)  1 As 1.89

***

Computed, not measured: a relaxed structure of RbCeAs2O6 at the PBE level of DFT.

Summary:
* volume: 18.60 Å³ per atom
* ΔE_f (raw): -18.71 eV per formula unit

Cell lengths 5.8978, 5.8978, 18.5204 Å; angles 90.00, 90.00, 120.00 degrees
Closest atoms and distances in Å follow each position.
Space group R-3 (No. 148, hexagonal axes)
Unique sites:
Rb (0.0000, 0.0000, 0.0000)  6 O 3.10
Ce (0.0000, 0.0000, 0.5000)  6 O 2.26
As (0.0000, 0.0000, 0.2710)  3 O 1.77
O (0.0237, 0.4380, 0.9019)  1 As 1.77